NdGe2Rh6 | PBE-GGA | optimized geometry

Computed properties:
Crystal system: cubic
E in eV for the cell shown: -465.26
ΔH_f (0 K) in eV/atom: -0.01
Magnetization in μB per atom: 0.00

a b c (Å): 11.112 11.112 11.112
angles (deg): 90.00 90.00 90.00
Space group Fd-3m (No. 227, origin choice 2)
Unique sites:
Nd (0.125, 0.125, 0.125) x8
Ge (0.000, 0.000, 0.500) x16
Rh (0.123, 0.375, 0.375) x48